Below is a geometry-optimized YTlNiMo structure, with properties calculated at the PBE-GGA level.

a b c (Å): 6.7639 6.7639 6.7639
angles (deg): 90.00 90.00 90.00
Space group F-43m (No. 216)
One atom of each set of equivalent atoms:
1 Y 0.0000 0.0000 0.0000
2 Tl 0.0000 0.0000 0.5000
3 Ni 0.2500 0.2500 0.7500
4 Mo 0.2500 0.2500 0.2500

Computed properties:
Its total DFT energy (no corrections) is -5.878 eV per atom. The magnetic moment is 8.71 μB per cell.

Below is a geometry-optimized ZrTlNiMo structure, with properties calculated at the PBE-GGA level.

a b c (Å): 6.5869 6.5869 6.5869
angles (deg): 90.00 90.00 90.00
Space group F-43m (No. 216)
One atom of each set of equivalent atoms:
1 Zr 0.0000 0.0000 0.0000
2 Tl 0.0000 0.0000 0.5000
3 Ni 0.2500 0.2500 0.7500
4 Mo 0.2500 0.2500 0.2500

Computed properties:
Its total DFT energy (no corrections) is -6.482 eV per atom. The magnetic moment is 3.75 μB per cell.

Below is a geometry-optimized TmNiMo structure, with properties calculated at the PBE-GGA level.

a b c (Å): 6.2797 6.2797 6.2797
angles (deg): 90.00 90.00 90.00
Space group F-43m (No. 216)
One atom of each set of equivalent atoms:
1 Tm 0.0000 0.0000 0.0000
2 Ni 0.2500 0.2500 0.2500
3 Mo 0.2500 0.2500 0.7500

Computed properties:
As for the formation energy: 3.55 eV per formula unit. The magnetic moment is 11.33 μB per cell.

Below is a geometry-optimized TmNiMo structure, with properties calculated at the PBE-GGA level.

a b c (Å): 6.1291 6.1291 6.1291
angles (deg): 90.00 90.00 90.00
Space group F-43m (No. 216)
One atom of each set of equivalent atoms:
1 Tm 0.0000 0.0000 0.0000
2 Ni 0.2500 0.2500 0.7500
3 Mo 0.0000 0.0000 0.5000

Computed properties:
As for the formation energy: 1.29 eV per formula unit. The magnetic moment is 0.06 μB per cell.

Below is a geometry-optimized Ni6MoW structure, with properties calculated at the PBE-GGA level.

a b c (Å): 4.2287 5.0250 4.4549
angles (deg): 90.00 90.00 90.00
Space group Pmm2 (No. 25)
One atom of each set of equivalent atoms:
1 Ni 0.0000 0.0000 0.0000
2 Ni 0.0000 0.2482 0.5049
3 Ni 0.5000 0.2514 0.8250
4 Ni 0.5000 0.5000 0.3299
5 Mo 0.5000 0.0000 0.3209
6 W 0.0000 0.5000 0.0094

Computed properties:
As for the formation energy: -0.83 eV per formula unit. The magnetic moment is 0.00 μB per cell.

Below is a geometry-optimized YZnNiMo structure, with properties calculated at the PBE-GGA level.

a b c (Å): 6.5196 6.5196 6.5196
angles (deg): 90.00 90.00 90.00
Space group F-43m (No. 216)
One atom of each set of equivalent atoms:
1 Y 0.0000 0.0000 0.0000
2 Zn 0.0000 0.0000 0.5000
3 Ni 0.2500 0.2500 0.7500
4 Mo 0.2500 0.2500 0.2500

Computed properties:
As for the formation energy: 1.25 eV per formula unit. The magnetic moment is 11.63 μB per cell.

Below is a geometry-optimized ZnNi2Mo structure, with properties calculated at the PBE-GGA level.

a b c (Å): 5.8775 5.8775 5.8775
angles (deg): 90.00 90.00 90.00
Space group F-43m (No. 216)
One atom of each set of equivalent atoms:
1 Zn 0.0000 0.0000 0.0000
2 Ni 0.0000 0.0000 0.5000
3 Ni 0.2500 0.2500 0.2500
4 Mo 0.2500 0.2500 0.7500

Computed properties:
As for the formation energy: 0.30 eV per formula unit. The magnetic moment is 0.00 μB per cell.

Below is a geometry-optimized Zr9NiMo4 structure, with properties calculated at the PBE-GGA level.

a b c (Å): 8.8138 8.8138 8.4551
angles (deg): 90.00 90.00 120.00
Space group P6_3/mmc (No. 194)
One atom of each set of equivalent atoms:
1 Zr 0.0850 0.5425 0.2500
2 Zr 0.1993 0.3986 0.5566
3 Ni 0.3333 0.6667 0.7500
4 Mo 0.0000 0.0000 0.0000
5 Mo 0.1102 0.2204 0.2500

Computed properties:
As for the formation energy: -1.94 eV per formula unit. The magnetic moment is 0.03 μB per cell.

Below is a geometry-optimized NpMo structure, with properties calculated at the PBE-GGA level.

a b c (Å): 5.7359 5.7359 5.7359
angles (deg): 90.00 90.00 90.00
Space group F-43m (No. 216)
One atom of each set of equivalent atoms:
1 Np 0.0000 0.0000 0.0000
2 Mo 0.2500 0.2500 0.2500

Computed properties:
As for the formation energy: 3.31 eV per formula unit. The magnetic moment is 7.15 μB per cell.

Below is a geometry-optimized NpMo structure, with properties calculated at the PBE-GGA level.

a b c (Å): 5.4194 5.4194 5.4194
angles (deg): 90.00 90.00 90.00
Space group Fm-3m (No. 225)
One atom of each set of equivalent atoms:
1 Np 0.0000 0.0000 0.0000
2 Mo 0.0000 0.0000 0.5000

Computed properties:
As for the formation energy: 1.97 eV per formula unit. The magnetic moment is 5.98 μB per cell.

Below is a geometry-optimized NpMo structure, with properties calculated at the PBE-GGA level.

a b c (Å): 3.0633 3.0633 4.5645
angles (deg): 90.00 90.00 120.00
Space group P-6m2 (No. 187)
One atom of each set of equivalent atoms:
1 Np 0.0000 0.0000 0.0000
2 Mo 0.3333 0.6667 0.5000

Computed properties:
As for the formation energy: 1.19 eV per formula unit. The magnetic moment is 2.08 μB per cell.

Below is a geometry-optimized NpPaMo structure, with properties calculated at the PBE-GGA level.

a b c (Å): 6.5344 6.5344 6.5344
angles (deg): 90.00 90.00 90.00
Space group F-43m (No. 216)
One atom of each set of equivalent atoms:
1 Np 0.0000 0.0000 0.0000
2 Pa 0.0000 0.0000 0.5000
3 Mo 0.2500 0.2500 0.2500

Computed properties:
As for the formation energy: 2.17 eV per formula unit. The magnetic moment is 16.27 μB per cell.

magnetic moment of number 4 (TmNiMo)? 0.06 μB per cell

The highest magnetic moment belongs to which entry? NpPaMo

Number 7 is which compound? ZnNi2Mo

The highest magnetic moment belongs to which entry? NpPaMo